<1>
Material: BaCd2Te2
Method: DFT, PBE
State: optimized geometry

Unit cell a=5.6702 b=5.6702 c=6.5201 alpha=64.23 beta=64.23 gamma=90.00
Fractional coordinates of all 5 atoms:
Te  0.7500  0.2500  0.5000
Te  0.2500  0.7500  0.5000
Ba  0.0000  0.0000  0.0000
Cd  0.3677  0.3677  0.2645
Cd  0.6323  0.6323  0.7355

Properties
Its space group is I4/mmm (139).



<2>
Material: BaCd2Te2
Method: DFT, PBE
State: optimized geometry

Unit cell a=4.4886 b=4.4886 c=8.9407 alpha=75.46 beta=75.46 gamma=90.00
Fractional coordinates of all 5 atoms:
Te  0.4013  0.4013  0.1975
Te  0.5987  0.5987  0.8025
Ba  0.0000  0.0000  0.0000
Cd  0.7500  0.2500  0.5000
Cd  0.2500  0.7500  0.5000

Properties
Its space group is I4/mmm (139).



Q: Which of them is the least stable? A: <2>.



<1>
Material: BaCdTe
Method: DFT, PBE
State: optimized geometry

Unit cell a=5.7919 b=5.7919 c=5.7919 alpha=60.00 beta=60.00 gamma=60.00
Fractional coordinates of all 3 atoms:
Te  0.7500  0.7500  0.7500
Ba  0.0000  0.0000  0.0000
Cd  0.5000  0.5000  0.5000

Properties
Its space group is F-43m (216).



<2>
Material: BaCdTe
Method: DFT, PBE
State: optimized geometry

Unit cell a=6.3652 b=6.3653 c=4.4067 alpha=69.75 beta=69.75 gamma=40.50
Fractional coordinates of all 3 atoms:
Te  0.6732  0.6732  0.3268
Ba  0.0055  0.0055  0.9945
Cd  0.3212  0.3212  0.6788

Properties
Its space group is I4mm (107).



Q: Which of them is the least stable? A: <1>.



<1>
Material: BaCdTe
Method: DFT, PBE
State: optimized geometry

Unit cell a=5.7204 b=5.7204 c=5.7204 alpha=60.00 beta=60.00 gamma=60.00
Fractional coordinates of all 3 atoms:
Te  0.5000  0.5000  0.5000
Ba  0.7500  0.7500  0.7500
Cd  0.0000  0.0000  0.0000

Properties
Its space group is F-43m (216).



<2>
Material: BaCdTe
Method: DFT, PBE
State: optimized geometry

Unit cell a=5.0332 b=5.0332 c=5.3731 alpha=90.00 beta=90.00 gamma=120.00
Fractional coordinates of all 3 atoms:
Te  0.3333  0.6667  0.6304
Ba  0.0000  0.0000  0.0013
Cd  0.6667  0.3333  0.3684

Properties
Its space group is P3m1 (156).



Q: Which of them is the least stable? A: <1>.



<1>
Material: BaCd3Te
Method: DFT, PBE
State: optimized geometry

Unit cell a=5.8157 b=5.8157 c=5.8157 alpha=90.00 beta=90.00 gamma=90.00
Fractional coordinates of all 5 atoms:
Te  0.0000  0.0000  0.0000
Ba  0.5000  0.5000  0.5000
Cd  0.0000  0.5000  0.0000
Cd  0.0000  0.0000  0.5000
Cd  0.5000  0.0000  0.0000

Properties
Its space group is Pm-3m (221).



<2>
Material: BaCd3Te
Method: DFT, PBE
State: optimized geometry

Unit cell a=6.4105 b=6.4105 c=6.4105 alpha=90.00 beta=90.00 gamma=90.00
Fractional coordinates of all 5 atoms:
Te  0.5000  0.5000  0.5000
Ba  0.0000  0.0000  0.0000
Cd  0.0000  0.5000  0.0000
Cd  0.0000  0.0000  0.5000
Cd  0.5000  0.0000  0.0000

Properties
Its space group is Pm-3m (221).



Q: Which of them is the least stable? A: <2>.



<1>
Material: Ba2CdTe2
Method: DFT, PBE
State: optimized geometry

Unit cell a=6.5056 b=6.5056 c=8.0105 alpha=66.04 beta=66.04 gamma=90.00
Fractional coordinates of all 5 atoms:
Te  0.3287  0.3287  0.3427
Te  0.6713  0.6713  0.6573
Ba  0.7500  0.2500  0.5000
Ba  0.2500  0.7500  0.5000
Cd  0.0000  0.0000  0.0000

Properties
Its space group is I4/mmm (139).



<2>
Material: Ba2CdTe2
Method: DFT, PBE
State: optimized geometry

Unit cell a=8.2784 b=8.2784 c=8.2784 alpha=131.90 beta=131.90 gamma=70.38
Fractional coordinates of all 5 atoms:
Ba  0.7185  0.7185  0.0000
Ba  0.2815  0.2815  0.0000
Cd  0.0000  0.0000  0.0000
Te  0.2500  0.7500  0.5000
Te  0.7500  0.2500  0.5000

Properties
Its space group is I4/mmm (139).



<3>
Material: Ba2CdTe2
Method: DFT, PBE
State: optimized geometry

Unit cell a=9.5446 b=9.5446 c=4.4379 alpha=90.00 beta=90.00 gamma=90.00
Fractional coordinates of all 10 atoms:
Te  0.1553  0.6553  0.5000
Te  0.6553  0.8447  0.5000
Te  0.8447  0.3447  0.5000
Te  0.3447  0.1553  0.5000
Ba  0.3539  0.8539  0.0000
Ba  0.8539  0.6461  0.0000
Ba  0.6461  0.1461  0.0000
Ba  0.1461  0.3539  0.0000
Cd  0.0000  0.0000  0.0000
Cd  0.5000  0.5000  0.0000

Properties
Its space group is P4/mbm (127).



Q: Which of them is the least stable? A: <2>.



<1>
Material: BaCdTe3
Method: DFT, PBE
State: optimized geometry

Unit cell a=6.7166 b=6.7166 c=6.7166 alpha=90.00 beta=90.00 gamma=90.00
Last column: magnetic moment on the atom in μB.
Fractional coordinates of all 5 atoms:
Te  0.0000  0.5000  0.0000  0.65
Te  0.0000  0.0000  0.5000  0.72
Te  0.5000  0.0000  0.0000  0.52
Ba  0.0000  0.0000  0.0000  0.00
Cd  0.5000  0.5000  0.5000  0.14

Properties
Its space group is Pm-3m (221).



<2>
Material: BaCdTe3
Method: DFT, PBE
State: optimized geometry

Unit cell a=5.6967 b=5.6967 c=5.6967 alpha=90.00 beta=90.00 gamma=90.00
Fractional coordinates of all 5 atoms:
Te  0.0000  0.5000  0.0000
Te  0.0000  0.0000  0.5000
Te  0.5000  0.0000  0.0000
Ba  0.5000  0.5000  0.5000
Cd  0.0000  0.0000  0.0000

Properties
Its space group is Pm-3m (221).



Q: Which of them is the least stable? A: <1>.



<1>
Material: BaThCd4
Method: DFT, PBE
State: optimized geometry

Unit cell a=6.1564 b=6.1564 c=6.1564 alpha=60.00 beta=60.00 gamma=60.00
Fractional coordinates of all 6 atoms:
Ba  0.2500  0.2500  0.2500
Th  0.0000  0.0000  0.0000
Cd  0.6260  0.6260  0.1219
Cd  0.6260  0.1219  0.6260
Cd  0.6260  0.6260  0.6260
Cd  0.1219  0.6260  0.6260

Properties
Its space group is F-43m (216).



<2>
Material: BaThCd4
Method: DFT, PBE
State: optimized geometry

Unit cell a=5.1043 b=5.1042 c=8.1482 alpha=90.01 beta=89.99 gamma=120.00
Fractional coordinates of all 6 atoms:
Ba  0.0041  0.4994  0.4981
Th  0.0039  0.4994  0.9981
Cd  0.6706  0.8328  0.1962
Cd  0.3374  0.1660  0.8001
Cd  0.6707  0.8327  0.8001
Cd  0.3373  0.1662  0.1962

Properties
Its space group is P6/mmm (191).



Q: Which of them is the least stable? A: <1>.



<1>
Material: BaTiCd2
Method: DFT, PBE
State: optimized geometry

Unit cell a=5.4554 b=5.4554 c=5.4554 alpha=60.00 beta=60.00 gamma=60.00
Last column: magnetic moment on the atom in μB.
Fractional coordinates of all 4 atoms:
Ti  0.0000  0.0000  0.0000  1.51
Ba  0.5000  0.5000  0.5000  0.04
Cd  0.2500  0.2500  0.2500  0.00
Cd  0.7500  0.7500  0.7500  0.00

Properties
Its space group is Fm-3m (225).



<2>
Material: BaTiCd2
Method: DFT, PBE
State: optimized geometry

Unit cell a=5.3302 b=5.3302 c=10.7204 alpha=75.61 beta=75.61 gamma=90.00
Last column: magnetic moment on the atom in μB.
Fractional coordinates of all 8 atoms:
Ti  0.5000  0.5000  0.0000  1.74
Ti  0.2500  0.7500  0.5000  1.75
Ba  0.0000  0.0000  0.0000  0.08
Ba  0.7500  0.2500  0.5000  0.09
Cd  0.4657  0.1250  0.2500  0.03
Cd  0.2843  0.6250  0.2500  0.03
Cd  0.3750  0.5343  0.7500  0.04
Cd  0.8750  0.7157  0.7500  0.04

Properties
Its space group is I-42d (122).



Q: Which of them is the least stable? A: <2>.



<1>
Material: Ba2TlCd
Method: DFT, PBE
State: optimized geometry

Unit cell a=6.0500 b=4.2787 c=6.0517 alpha=89.99 beta=90.00 gamma=90.00
Fractional coordinates of all 4 atoms:
Tl  0.5000  0.6251  0.8744
Ba  0.0000  0.1249  0.8754
Ba  0.5000  0.1253  0.3749
Cd  0.0000  0.6247  0.3753

Properties
Its space group is Pmm2 (25).



<2>
Material: Ba2TlCd
Method: DFT, PBE
State: optimized geometry

Unit cell a=6.5398 b=6.5398 c=6.5398 alpha=132.44 beta=132.44 gamma=69.53
Fractional coordinates of all 4 atoms:
Tl  0.7500  0.2500  0.5000
Ba  0.0000  0.0000  0.0000
Ba  0.2500  0.7500  0.5000
Cd  0.5000  0.5000  0.0000

Properties
Its space group is I-4m2 (119).



<3>
Material: Ba2TlCd
Method: DFT, PBE
State: optimized geometry

Unit cell a=10.7315 b=10.7315 c=10.7315 alpha=23.69 beta=23.69 gamma=23.69
Fractional coordinates of all 4 atoms:
Tl  0.2500  0.2500  0.2500
Ba  0.0003  0.0003  0.0003
Ba  0.4997  0.4997  0.4997
Cd  0.7500  0.7500  0.7500

Properties
Its space group is R-3m (166).



Q: Which of them is the least stable? A: <3>.



<1>
Material: Ba2TlCd
Method: DFT, PBE
State: optimized geometry

Unit cell a=4.2716 b=4.2843 c=9.5595 alpha=63.44 beta=90.00 gamma=90.00
Fractional coordinates of all 4 atoms:
Tl  0.5000  0.7500  0.7500
Ba  0.0000  0.0000  0.0003
Ba  0.0000  0.5000  0.4997
Cd  0.5000  0.2500  0.2500

Properties
Its space group is P2/m (10).



<2>
Material: Ba2TlCd
Method: DFT, PBE
State: optimized geometry

Unit cell a=7.1123 b=7.1123 c=5.9883 alpha=65.97 beta=65.97 gamma=33.84
Fractional coordinates of all 4 atoms:
Tl  0.7842  0.7842  0.7228
Ba  0.0266  0.0266  0.9700
Ba  0.2203  0.2203  0.2830
Cd  0.4689  0.4689  0.5242

Properties
Its space group is Cm (8).



Q: Which of them is the least stable? A: <2>.



<1>
Material: Ba2TlCd
Method: DFT, PBE
State: optimized geometry

Unit cell a=6.0438 b=6.0438 c=6.0438 alpha=60.00 beta=60.00 gamma=60.00
Fractional coordinates of all 4 atoms:
Tl  0.5000  0.5000  0.5000
Ba  0.2500  0.2500  0.2500
Ba  0.7500  0.7500  0.7500
Cd  0.0000  0.0000  0.0000

Properties
Its space group is Fm-3m (225).



<2>
Material: Ba2TlCd
Method: DFT, PBE
State: optimized geometry

Unit cell a=5.9085 b=5.9085 c=5.9085 alpha=60.00 beta=60.00 gamma=60.00
Fractional coordinates of all 4 atoms:
Tl  0.7500  0.7500  0.7500
Ba  0.0000  0.0000  0.0000
Ba  0.2500  0.2500  0.2500
Cd  0.5000  0.5000  0.5000

Properties
Its space group is F-43m (216).



Q: Which of them is the least stable? A: <2>.



<1>
Material: Ba2TlCd
Method: DFT, PBE
State: optimized geometry

Unit cell a=4.4169 b=4.4170 c=8.7716 alpha=90.00 beta=90.00 gamma=89.96
Fractional coordinates of all 4 atoms:
Tl  0.5000  0.5000  0.7220
Ba  0.0000  0.0000  0.9324
Ba  0.5000  0.5000  0.3217
Cd  0.0000  0.0000  0.5239

Properties
Its space group is P4mm (99).



<2>
Material: Ba2TlCd
Method: DFT, PBE
State: optimized geometry

Unit cell a=9.4448 b=9.4448 c=7.7989 alpha=52.73 beta=52.73 gamma=90.00
Fractional coordinates of all 8 atoms:
Tl  0.0000  0.0000  0.0000
Tl  0.7500  0.2500  0.5000
Ba  0.6209  0.1250  0.2500
Ba  0.1291  0.6250  0.2500
Ba  0.3750  0.3791  0.7500
Ba  0.8750  0.8709  0.7500
Cd  0.5000  0.5000  0.0000
Cd  0.2500  0.7500  0.5000

Properties
Its space group is I-42d (122).



Q: Which of them is the least stable? A: <2>.